First-principles (GGA-PBE) data for a relaxed SrCd2Pb crystal, as listed in the Alexandria database.

The calculation puts the density at 7.47 g/cm³. The calculation puts the calculated total energy at -2.05 eV/atom. As for the total magnetic moment: 0.0 Bohr magnetons per cell.

The space group is P4/mmm (No. 123) and the conventional cell measures 4.852, 4.852 and 4.909 Å, with angles of 90.00, 90.00 and 90.00 degrees. The inequivalent atoms are Sr at (0.000, 0.000, 0.000), Cd at (0.000, 0.500, 0.500) and Pb at (0.500, 0.500, 0.000).